A PBEsol-optimized structure of Rb3NaNb. Source: Alexandria via LeMat-Bulk, functional SCAN.

Output
- space group = Pm-3m, No. 221
- E above lowest polymorph (meV/atom) = 0.0
- crystal system = cubic

```
5
Lattice="6.996 0.000 0.000 0.000 6.996 0.000 0.000 0.000 6.996" Properties=species:S:1:pos:R:3 pbc="T T T"
Na 3.498 3.498 3.498
Nb 0.000 0.000 0.000
Rb 0.000 3.498 0.000
Rb 0.000 0.000 3.498
Rb 3.498 0.000 0.000
```